[1]
Here is crystalline NaYGaPb at its relaxed geometry from Alexandria. Energies are from PBE.

Geometry as extended XYZ:
```
4
Lattice="0.000 3.716 3.716 3.716 0.000 3.716 3.716 3.716 0.000" Properties=species:S:1:pos:R:3 pbc="T T T"
Na 0.000 0.000 0.000
Y 3.716 3.716 3.716
Ga 5.575 5.575 5.575
Pb 1.858 1.858 1.858
```

Output
Total DFT energy (no corrections) (eV per atom): -3.88
Formation enthalpy at 0 K (eV/atom): -0.25



[2]
Here is crystalline NaGa5Pd6 at its relaxed geometry from Alexandria. Energies are from PBE.

Geometry as extended XYZ:
```
12
Lattice="4.359 0.000 0.000 0.000 6.430 0.000 -2.143 0.000 6.546" Properties=species:S:1:pos:R:3 pbc="T T T"
Na 0.000 0.000 0.000
Ga 0.000 3.215 0.000
Ga 0.022 3.215 4.382
Ga 0.026 0.000 4.438
Ga 2.189 0.000 2.108
Ga 2.193 3.215 2.164
Pd 0.014 1.654 2.281
Pd 0.014 4.776 2.281
Pd 2.179 1.747 0.000
Pd 2.179 4.683 0.000
Pd 2.202 1.654 4.266
Pd 2.202 4.776 4.266
```

Output
Total DFT energy (no corrections) (eV per atom): -4.49
Formation enthalpy at 0 K (eV/atom): -0.52



[3]
Here is crystalline Na2Ga7Pd at its relaxed geometry from Alexandria. Energies are from PBE.

Geometry as extended XYZ:
```
10
Lattice="4.280 0.000 0.000 0.000 4.280 0.000 0.000 0.000 11.052" Properties=species:S:1:pos:R:3 pbc="T T T"
Na 0.000 2.140 2.604
Na 2.140 0.000 8.448
Ga 0.000 0.000 0.000
Ga 0.000 0.000 5.526
Ga 0.000 2.140 7.109
Ga 0.000 2.140 9.617
Ga 2.140 0.000 1.435
Ga 2.140 0.000 3.943
Ga 2.140 2.140 5.526
Pd 2.140 2.140 0.000
```

Output
Total DFT energy (no corrections) (eV per atom): -3.10
Formation enthalpy at 0 K (eV/atom): -0.20



[4]
Here is crystalline Na2Ga9Pd3 at its relaxed geometry from Alexandria. Energies are from PBE.

Geometry as extended XYZ:
```
28
Lattice="6.617 -3.819 0.000 6.617 3.819 0.000 -4.460 0.000 9.752" Properties=species:S:1:pos:R:3 pbc="T T T"
Na 1.105 0.636 2.432
Na -1.125 -0.636 7.308
Na 9.898 0.636 2.444
Na 7.668 -0.636 7.321
Ga 5.503 3.195 0.765
Ga 5.500 3.195 4.111
Ga 1.078 0.635 5.608
Ga 4.117 1.425 2.450
Ga 1.056 0.644 9.063
Ga 3.308 -0.635 0.732
Ga 3.272 0.980 7.314
Ga 6.886 1.425 2.426
Ga 3.286 -0.644 4.187
Ga 5.487 0.644 5.565
Ga 1.887 -1.425 7.326
Ga 5.502 -0.980 2.438
Ga 5.465 0.635 9.020
Ga 7.718 -0.644 0.689
Ga 4.656 -1.425 7.302
Ga 7.695 -0.635 4.144
Ga 3.273 -3.195 5.641
Ga 3.270 -3.195 8.987
Pd 3.308 1.909 0.000
Pd 3.268 1.935 4.871
Pd 7.735 1.935 0.005
Pd 1.078 -1.909 4.876
Pd 1.038 -1.935 9.747
Pd 5.505 -1.935 4.881
```

Output
Total DFT energy (no corrections) (eV per atom): -3.62
Formation enthalpy at 0 K (eV/atom): -0.37



[5]
Here is crystalline Na3Ga4Pd2 at its relaxed geometry from Alexandria. Energies are from PBE.

Geometry as extended XYZ:
```
9
Lattice="5.443 -2.182 0.000 5.443 2.182 0.000 -2.790 0.000 8.218" Properties=species:S:1:pos:R:3 pbc="T T T"
Na 0.000 0.000 0.000
Na 2.438 0.000 5.175
Na 5.659 0.000 3.043
Ga -0.696 0.000 5.188
Ga 0.469 0.000 7.631
Ga 7.629 0.000 0.587
Ga 8.793 0.000 3.030
Pd 2.667 0.000 1.896
Pd 5.431 0.000 6.322
```

Output
Total DFT energy (no corrections) (eV per atom): -3.23
Formation enthalpy at 0 K (eV/atom): -0.29



[6]
Here is crystalline Na2Ga5Pd3 at its relaxed geometry from Alexandria. Energies are from PBE.

Geometry as extended XYZ:
```
20
Lattice="5.713 -5.880 0.000 5.713 5.880 0.000 -1.274 0.000 5.373" Properties=species:S:1:pos:R:3 pbc="T T T"
Na 3.293 3.532 5.068
Na 6.221 3.532 2.992
Na 3.930 -3.532 2.381
Na 6.858 -3.532 0.305
Ga 5.394 5.877 1.343
Ga 4.757 -5.877 4.030
Ga 3.471 2.261 2.275
Ga 3.834 0.734 0.088
Ga 3.197 -0.734 2.775
Ga 7.318 2.261 0.412
Ga 2.834 -2.261 4.961
Ga 6.955 0.734 2.598
Ga 6.318 -0.734 5.285
Ga 6.681 -2.261 3.098
Pd 1.258 0.999 3.181
Pd 1.895 -0.999 0.495
Pd 4.757 0.894 4.030
Pd 5.394 -0.894 1.343
Pd 8.257 0.999 4.878
Pd 8.894 -0.999 2.192
```

Output
Total DFT energy (no corrections) (eV per atom): -3.72
Formation enthalpy at 0 K (eV/atom): -0.39



[7]
Here is crystalline Na2Ga5Pd at its relaxed geometry from Alexandria. Energies are from PBE.

Geometry as extended XYZ:
```
8
Lattice="-2.843 2.843 5.718 2.843 -2.843 5.718 2.843 2.843 -5.718" Properties=species:S:1:pos:R:3 pbc="T T T"
Na 2.843 0.000 0.000
Na 0.000 2.843 0.000
Ga 1.498 1.498 -2.681
Ga 1.344 -1.344 3.037
Ga 0.000 0.000 1.118
Ga -1.344 1.344 3.037
Ga 1.344 1.344 3.037
Pd 0.000 0.000 10.066
```

Output
Total DFT energy (no corrections) (eV per atom): -3.04
Formation enthalpy at 0 K (eV/atom): -0.17



[8]
Here is crystalline NaGaPd at its relaxed geometry from Alexandria. Energies are from PBE.

Geometry as extended XYZ:
```
3
Lattice="4.517 0.000 0.000 -2.258 3.912 0.000 0.000 0.000 3.080" Properties=species:S:1:pos:R:3 pbc="T T T"
Na 0.000 0.000 0.000
Ga 2.258 1.304 1.540
Pd 0.000 2.608 1.540
```

Output
Total DFT energy (no corrections) (eV per atom): -3.46
Formation enthalpy at 0 K (eV/atom): -0.28



[9]
Here is crystalline NaGa6Pd12 at its relaxed geometry from Alexandria. Energies are from PBE.

Geometry as extended XYZ:
```
19
Lattice="5.772 3.332 2.820 -5.772 3.332 2.820 0.000 -6.665 2.820" Properties=species:S:1:pos:R:3 pbc="T T T"
Na 0.000 0.000 0.000
Ga 0.000 -2.914 3.469
Ga -2.524 1.457 3.469
Ga -2.524 -1.457 4.991
Ga 2.524 1.457 3.469
Ga 2.524 -1.457 4.991
Ga 0.000 2.914 4.991
Pd -2.180 -3.776 4.230
Pd -4.360 0.000 4.230
Pd -1.440 -0.832 2.822
Pd 1.440 -0.832 2.822
Pd 0.000 1.663 2.822
Pd 2.180 -3.776 4.230
Pd -2.180 3.776 4.230
Pd 0.000 -1.663 5.638
Pd -1.440 0.832 5.638
Pd 1.440 0.832 5.638
Pd 4.360 0.000 4.230
Pd 2.180 3.776 4.230
```

Output
Total DFT energy (no corrections) (eV per atom): -4.80
Formation enthalpy at 0 K (eV/atom): -0.50



[10]
Here is crystalline NaGa2Pd5 at its relaxed geometry from Alexandria. Energies are from PBE.

Geometry as extended XYZ:
```
8
Lattice="-1.899 3.584 5.176 1.899 -3.584 5.176 1.899 3.584 -5.176" Properties=species:S:1:pos:R:3 pbc="T T T"
Na 0.000 0.000 0.000
Ga 1.899 0.000 2.672
Ga 0.000 3.584 2.504
Pd 1.899 2.163 -1.482
Pd 1.899 2.163 1.482
Pd 0.000 3.584 0.000
Pd 0.000 1.421 3.694
Pd 0.000 1.421 6.659
```

Output
Total DFT energy (no corrections) (eV per atom): -4.60
Formation enthalpy at 0 K (eV/atom): -0.44



[11]
Here is crystalline Na2GaPd at its relaxed geometry from Alexandria. Energies are from PBE.

Geometry as extended XYZ:
```
4
Lattice="1.492 0.861 10.704 -1.492 0.861 10.704 0.000 -1.723 10.704" Properties=species:S:1:pos:R:3 pbc="T T T"
Na 0.000 0.000 2.685
Na 0.000 0.000 29.427
Ga 0.000 0.000 16.056
Pd 0.000 0.000 0.000
```

Output
Total DFT energy (no corrections) (eV per atom): -2.58
Formation enthalpy at 0 K (eV/atom): 0.14



[12]
Here is crystalline Na2Ga2Pd at its relaxed geometry from Alexandria. Energies are from PBE.

Geometry as extended XYZ:
```
10
Lattice="4.611 -3.573 0.000 4.611 3.573 0.000 0.000 0.000 7.396" Properties=species:S:1:pos:R:3 pbc="T T T"
Na 1.757 0.000 0.000
Na 1.757 0.000 3.698
Na 7.465 0.000 0.000
Na 7.465 0.000 3.698
Ga 4.611 1.149 4.326
Ga 4.611 1.149 6.769
Ga 4.611 -1.149 0.627
Ga 4.611 -1.149 3.071
Pd 4.611 1.188 1.849
Pd 4.611 -1.188 5.547
```

Output
Total DFT energy (no corrections) (eV per atom): -2.95
Formation enthalpy at 0 K (eV/atom): -0.18
Excess energy over the best structure of this formula in the dataset (meV per atom): 55



[13]
Here is crystalline NaGaPd at its relaxed geometry from Alexandria. Energies are from PBE.

Geometry as extended XYZ:
```
3
Lattice="-1.690 1.690 5.367 1.690 -1.690 5.367 1.690 1.690 -5.367" Properties=species:S:1:pos:R:3 pbc="T T T"
Na 0.000 0.000 0.000
Ga 0.000 0.000 3.042
Pd 0.000 0.000 7.595
```

Output
Total DFT energy (no corrections) (eV per atom): -3.50
Formation enthalpy at 0 K (eV/atom): -0.32



[14]
Here is crystalline NaGaPd at its relaxed geometry from Alexandria. Energies are from PBE.

Geometry as extended XYZ:
```
6
Lattice="-2.680 2.827 3.611 2.680 -2.827 3.611 2.680 2.827 -3.611" Properties=species:S:1:pos:R:3 pbc="T T T"
Na 0.000 1.414 0.964
Na 2.680 1.414 2.646
Ga 1.340 1.414 -1.805
Ga 1.340 -1.414 1.805
Pd 2.680 0.000 0.000
Pd 0.000 0.000 3.611
```

Output
Total DFT energy (no corrections) (eV per atom): -3.58
Formation enthalpy at 0 K (eV/atom): -0.40



[15]
Here is crystalline Na2Ga2Pd at its relaxed geometry from Alexandria. Energies are from PBE.

Geometry as extended XYZ:
```
10
Lattice="6.542 0.000 0.000 0.000 6.542 0.000 0.000 0.000 5.092" Properties=species:S:1:pos:R:3 pbc="T T T"
Na 1.184 2.087 0.000
Na 2.087 5.358 0.000
Na 4.455 1.184 0.000
Na 5.358 4.455 0.000
Ga 0.913 4.184 2.546
Ga 2.358 0.913 2.546
Ga 4.184 5.629 2.546
Ga 5.629 2.358 2.546
Pd 0.000 0.000 2.546
Pd 3.271 3.271 2.546
```

Output
Total DFT energy (no corrections) (eV per atom): -3.01
Formation enthalpy at 0 K (eV/atom): -0.23
Excess energy over the best structure of this formula in the dataset (meV per atom): 0



[16]
Here is crystalline NaGaPd3 at its relaxed geometry from Alexandria. Energies are from PBE.

Geometry as extended XYZ:
```
5
Lattice="4.709 0.000 0.000 0.000 4.709 0.000 0.000 0.000 4.709" Properties=species:S:1:pos:R:3 pbc="T T T"
Na 0.000 0.000 0.000
Ga 2.354 2.354 2.354
Pd 0.000 2.354 2.354
Pd 2.354 0.000 2.354
Pd 2.354 2.354 0.000
```

Output
Total DFT energy (no corrections) (eV per atom): -4.02
Formation enthalpy at 0 K (eV/atom): -0.03
Excess energy over the best structure of this formula in the dataset (meV per atom): 273



[17]
Here is crystalline NaGa8Pd2 at its relaxed geometry from Alexandria. Energies are from PBE.

Geometry as extended XYZ:
```
11
Lattice="6.371 0.000 0.000 0.000 6.371 0.000 0.000 0.000 5.331" Properties=species:S:1:pos:R:3 pbc="T T T"
Na 0.000 0.000 0.000
Ga 1.838 1.838 1.301
Ga 1.838 1.838 4.030
Ga 1.838 4.533 1.301
Ga 1.838 4.533 4.030
Ga 4.533 1.838 1.301
Ga 4.533 1.838 4.030
Ga 4.533 4.533 1.301
Ga 4.533 4.533 4.030
Pd 0.000 3.186 2.666
Pd 3.186 0.000 2.666
```

Output
Total DFT energy (no corrections) (eV per atom): -3.43
Formation enthalpy at 0 K (eV/atom): -0.17



[18]
Here is crystalline NaGaPd4 at its relaxed geometry from Alexandria. Energies are from PBE.

Geometry as extended XYZ:
```
12
Lattice="8.808 0.000 0.000 0.000 2.952 0.000 0.000 0.000 7.577" Properties=species:S:1:pos:R:3 pbc="T T T"
Na 2.202 0.000 0.550
Na 6.606 0.000 7.027
Ga 2.202 0.000 5.183
Ga 6.606 0.000 2.395
Pd 0.000 0.000 3.789
Pd 0.338 1.476 6.186
Pd 2.202 1.476 3.023
Pd 4.066 1.476 6.186
Pd 4.404 0.000 3.789
Pd 4.742 1.476 1.391
Pd 6.606 1.476 4.554
Pd 8.469 1.476 1.391
```

Output
Total DFT energy (no corrections) (eV per atom): -4.50
Formation enthalpy at 0 K (eV/atom): -0.31



[19]
Here is crystalline NaGaPd3 at its relaxed geometry from Alexandria. Energies are from PBE.

Geometry as extended XYZ:
```
10
Lattice="5.776 0.000 0.000 2.879 5.681 0.000 0.024 3.451 5.630" Properties=species:S:1:pos:R:3 pbc="T T T"
Na 0.000 0.000 0.000
Na 2.900 4.954 3.200
Ga 5.790 8.067 4.802
Ga 5.788 3.875 1.885
Pd 1.526 2.852 0.144
Pd 1.426 2.066 2.860
Pd 4.242 2.858 0.162
Pd 5.769 6.264 0.971
Pd 5.781 5.549 3.639
Pd 4.395 2.050 2.863
```

Output
Total DFT energy (no corrections) (eV per atom): -4.29
Formation enthalpy at 0 K (eV/atom): -0.31
Excess energy over the best structure of this formula in the dataset (meV per atom): 0



[20]
Here is crystalline NaGa3Pd at its relaxed geometry from Alexandria. Energies are from PBE.

Geometry as extended XYZ:
```
20
Lattice="8.336 0.000 0.000 0.000 5.742 0.000 -1.444 0.000 7.839" Properties=species:S:1:pos:R:3 pbc="T T T"
Na 0.621 0.566 1.480
Na -0.101 2.305 5.399
Na 6.992 3.438 2.440
Na 6.270 5.176 6.359
Ga 1.199 3.339 0.520
Ga 0.477 5.274 4.439
Ga 1.828 3.688 2.974
Ga 1.106 4.925 6.893
Ga 2.548 1.057 3.838
Ga 1.826 1.814 7.757
Ga 5.066 3.928 0.082
Ga 4.343 4.686 4.001
Ga 5.786 0.817 0.946
Ga 5.063 2.054 4.865
Ga 6.414 0.468 3.400
Ga 5.692 2.403 7.319
Pd 2.808 3.168 5.519
Pd 3.531 5.446 1.599
Pd 3.360 0.297 6.240
Pd 4.083 2.574 2.320
```

Output
Total DFT energy (no corrections) (eV per atom): -3.41
Formation enthalpy at 0 K (eV/atom): -0.29
Excess energy over the best structure of this formula in the dataset (meV per atom): 29